Compound: CrC2SeO
Source: Alexandria via LeMat-Bulk
Functional: PBE with a Hubbard U
Structure: optimized geometry

```
CrC2SeO
1.0
-4.028 -0.003 -0.971
-0.273 -3.343 1.144
-0.917 1.375 3.800
C O Se Cr
2 1 1 1
direct
0.000 0.000 0.500 C
0.500 0.000 0.000 C
0.000 0.500 0.000 O
0.500 0.500 0.500 Se
0.000 0.000 0.000 Cr
```

Properties
**Theoretical density**: 4.67 g/cm3
**Total magnetization**: 1.412 μB/f.u.
**V**: 61 Å³ per cell
**Fermi-level density of states**: 0.56 states/eV per atom
**SG**: No. 123
**Energy**: -27.07 eV for the cell shown